Computed, not measured: an optimized crystal structure of Ba2SrSb at the PBE level of DFT.

```
Ba2SrSb
1.0
-1.7358 -4.6045 -0.2120
2.1262 -3.5583 2.6602
-6.9652 -0.4472 9.5283
Sr Ba Sb
1 2 1
Cartesian
-3.2517 -4.3165 5.9443
-1.0504 -2.3427 2.2656
-5.8061 -0.8187 8.1050
0.2458 -5.4372 1.6499
```

Summary:
Total magnetization in μB per atom: 0.229
Final energy in eV/atom: -2.912
E_form (uncorrected) in eV/atom: -0.50

Computed, not measured: an optimized crystal structure of Tb2Nd3Dy6Er at the PBE level of DFT.

```
Tb2Nd3Dy6Er
1.0
6.1990 0.0003 0.0045
-3.0977 5.3695 0.0045
-1.0386 -1.7984 11.6480
Tb Nd Dy Er
2 3 6 1
Cartesian
0.0024 3.5791 0.0045
3.0989 1.7908 0.0045
1.0313 1.7857 5.8285
-2.0680 3.5757 5.8285
4.1306 -0.0042 5.8285
-0.0058 -0.0100 8.7793
2.0685 3.5815 2.8778
3.0944 1.7829 8.7856
-0.0021 3.5713 8.7856
2.0648 0.0002 2.8715
-1.0317 1.7885 2.8715
0.0000 0.0000 0.0000
```

Summary:
Total magnetization in μB per atom: 0.000
Final energy in eV/atom: -4.628
Formation enthalpy at 0 K in meV per atom: 16.7

Computed, not measured: an optimized crystal structure of MgZrOsRh at the PBE level of DFT.

```
MgZrOsRh
1.0
4.5409 0.0000 0.0000
2.2705 3.9326 0.0000
2.2705 1.3109 3.7077
Mg Rh Zr Os
1 1 1 1
Cartesian
0.0000 0.0000 0.0000
6.8114 3.9326 2.7807
4.5409 2.6217 1.8538
2.2705 1.3109 0.9269
```

Summary:
Total magnetization in μB per atom: 0.000
Final energy in eV/atom: -7.595
Formation enthalpy at 0 K in meV per atom: -413.9

Computed, not measured: an optimized crystal structure of NaH4IO2 at the PBE level of DFT.

```
NaH4IO2
1.0
6.0026 0.0040 0.0722
-2.9930 6.6162 0.0523
1.1024 -3.2084 6.3017
Na H O I
2 8 4 2
Cartesian
2.0443 -0.6290 3.0458
2.0676 4.0408 3.3804
0.4802 -1.0045 5.4337
2.9032 -2.0567 5.4446
4.6932 0.0000 1.8407
-0.5813 3.4118 4.5854
-1.4003 3.4766 1.7178
5.5122 -0.0648 4.7084
3.6318 4.4163 0.9925
1.2088 5.4685 0.9816
4.1146 -0.8014 1.8474
-0.0026 4.2132 4.5788
0.1317 -0.8283 4.5270
3.9802 4.2401 1.8992
3.5725 1.6058 4.9914
0.5395 1.8060 1.4348
```

Summary:
Total magnetization in μB per atom: 0.000
Final energy in eV/atom: -4.382

Computed, not measured: an optimized crystal structure of ScNbAg2 at the PBE level of DFT.

```
ScNbAg2
1.0
7.6747 0.0000 0.0000
0.0000 7.6747 0.0000
3.8373 3.8373 2.7408
Sc Ag Nb
2 4 2
Cartesian
3.8373 3.8373 0.0000
3.8373 7.6747 1.3704
5.7978 1.9187 0.6852
5.7560 5.7142 2.0556
9.5934 9.6352 2.0556
1.8769 5.7560 0.6852
0.0000 0.0000 0.0000
7.6747 3.8373 1.3704
```

Summary:
Total magnetization in μB per atom: 0.000
Final energy in eV/atom: -5.038
Formation enthalpy at 0 K in meV per atom: 487.6
E above lowest polymorph in eV/atom: 0.305

Computed, not measured: an optimized crystal structure of La2TbNd6Ho3 at the PBE level of DFT.

```
La2TbNd6Ho3
1.0
6.3247 -0.0025 0.0011
-3.1629 5.4770 0.0011
-1.0583 -1.8324 11.8545
Nd La Ho Tb
6 2 3 1
Cartesian
-0.0067 -0.0116 8.8302
2.0984 -0.0029 3.0243
-1.0512 1.8162 3.0243
0.0050 3.6450 8.8324
2.1102 3.6537 3.0265
3.1547 1.8260 8.8324
-0.0021 3.6515 0.0011
3.1638 1.8231 0.0011
-2.1148 3.6499 5.9283
4.2183 -0.0077 5.9283
1.0517 1.8211 5.9283
0.0000 0.0000 0.0000
```

Summary:
Total magnetization in μB per atom: 0.000
Final energy in eV/atom: -4.717
Formation enthalpy at 0 K in meV per atom: 18.9